Record 1
Density functional theory data (GGA-PBE) for crystalline CdTcSe3 at its relaxed geometry.

Cell and atoms, written as POSCAR:
```
CdTcSe3
1.0
-2.646 3.787 1.732
-3.506 -0.919 -3.347
-2.246 -3.026 3.184
Tc Se Cd
1 3 1
direct
0.000 0.000 0.000
0.000 0.500 0.000
0.000 0.000 0.500
0.500 0.000 0.000
0.500 0.500 0.500
```

Properties
The value obtained for the final energy is -4.10 eV/atom. The value obtained for the volume is 120 Å³/cell. For the energy above the most stable polymorph in this dataset, the calculation gives 0.0 kJ per mole of atoms. The magnetic moment comes out at 0.0 μB per formula unit. As for the density: 6.19 g cm⁻³. As for the symmetry: Pm-3m.

---

Record 2
Density functional theory data (GGA-PBE) for crystalline CdTcSe2 at its relaxed geometry.

Cell and atoms, written as POSCAR:
```
CdTcSe2
1.0
7.266 0.002 0.000
5.302 4.968 0.000
-6.284 -2.485 2.670
Cd Se Tc
1 2 1
direct
0.750 0.250 0.500
0.000 0.000 0.000
0.250 0.750 0.500
0.500 0.500 0.000
```

Properties
The value obtained for the final energy is -4.14 eV/atom. The value obtained for the volume is 96 Å³/cell. The magnetic moment comes out at 3.8 μB per formula unit. As for the density: 6.35 g cm⁻³. As for the symmetry: I-4m2.

---

Record 3
Density functional theory data (GGA-PBE) for crystalline CdTcSe2 at its relaxed geometry.

Cell and atoms, written as POSCAR:
```
CdTcSe2
1.0
4.816 0.000 0.000
2.408 4.170 0.000
2.408 1.390 3.932
Cd Se Tc
1 2 1
direct
0.500 0.500 0.500
0.000 0.000 0.000
0.250 0.250 0.250
0.750 0.750 0.750
```

Properties
The value obtained for the final energy is -3.82 eV/atom. The value obtained for the volume is 79 Å³/cell. The magnetic moment comes out at 2.4 μB per formula unit. As for the density: 7.75 g cm⁻³. As for the symmetry: F-43m.

---

Record 4
Density functional theory data (GGA-PBE) for crystalline CdTcSe2 at its relaxed geometry.

Cell and atoms, written as POSCAR:
```
CdTcSe2
1.0
7.227 0.036 0.002
5.440 4.757 -0.002
-6.101 -3.010 2.437
Cd Se Tc
1 2 1
direct
0.312 0.812 0.500
0.976 0.976 0.000
0.678 0.178 0.500
0.534 0.534 0.000
```

Properties
The value obtained for the final energy is -4.52 eV/atom. The value obtained for the volume is 83 Å³/cell. The magnetic moment comes out at 0.0 μB per formula unit. As for the density: 7.34 g cm⁻³. As for the symmetry: Imm2.

---

Record 5
Density functional theory data (GGA-PBE) for crystalline CdTcSe2 at its relaxed geometry.

Cell and atoms, written as POSCAR:
```
CdTcSe2
1.0
-9.646 2.935 1.677
-9.939 2.015 -1.276
-10.169 -0.058 1.026
Cd Se Tc
1 2 1
direct
0.760 0.760 0.760
0.010 0.010 0.010
0.226 0.226 0.226
0.504 0.504 0.504
```

Properties
The value obtained for the final energy is -4.55 eV/atom. The value obtained for the volume is 84 Å³/cell. The magnetic moment comes out at 0.0 μB per formula unit. As for the density: 7.27 g cm⁻³. As for the symmetry: R3m.

---

Record 6
Density functional theory data (GGA-PBE) for crystalline CdTcSe2 at its relaxed geometry.

Cell and atoms, written as POSCAR:
```
CdTcSe2
1.0
-1.455 -1.756 1.926
2.984 0.013 0.086
-0.238 7.924 7.041
Cd Se Tc
1 2 1
direct
0.500 0.500 0.750
0.000 0.000 0.058
0.000 0.000 0.442
0.500 0.500 0.250
```

Properties
The value obtained for the final energy is -4.34 eV/atom. The value obtained for the volume is 83 Å³/cell. The magnetic moment comes out at 0.3 μB per formula unit. As for the density: 7.34 g cm⁻³. As for the symmetry: Cmmm.

---

Record 7
Density functional theory data (GGA-PBE) for crystalline Cd3TcSe at its relaxed geometry.

Cell and atoms, written as POSCAR:
```
Cd3TcSe
1.0
-1.327 -4.401 2.590
4.119 0.660 3.231
-3.019 2.835 3.269
Tc Se Cd
1 1 3
direct
0.500 0.500 0.500
0.000 0.000 0.000
0.000 0.500 0.000
0.000 0.000 0.500
0.500 0.000 0.000
```

Properties
The value obtained for the final energy is -2.16 eV/atom. The value obtained for the volume is 147 Å³/cell. For the energy above the most stable polymorph in this dataset, the calculation gives 24.9 kJ per mole of atoms. The magnetic moment comes out at 4.0 μB per formula unit. As for the density: 5.81 g cm⁻³. As for the symmetry: Pm-3m.

---

Record 8
Density functional theory data (GGA-PBE) for crystalline CdTc2Se2 at its relaxed geometry.

Cell and atoms, written as POSCAR:
```
CdTc2Se2
1.0
4.889 0.000 0.000
0.000 4.889 0.000
2.445 2.445 4.165
Tc Se Cd
2 2 1
direct
0.368 0.368 0.264
0.632 0.632 0.736
0.750 0.250 0.500
0.250 0.750 0.500
0.000 0.000 0.000
```

Properties
The value obtained for the final energy is -5.46 eV/atom. The value obtained for the volume is 100 Å³/cell. For the energy above the most stable polymorph in this dataset, the calculation gives 0.0 kJ per mole of atoms. The magnetic moment comes out at 0.0 μB per formula unit. As for the density: 7.78 g cm⁻³. As for the symmetry: I4/mmm.

---

The following E_form (uncorrected) values (in eV per atom) correspond, in order, to the records above: 0.250 0.426 0.742 0.046 0.012 0.222 1.158 0.265.
The following N(E_F) values (in states/eV/cell) correspond, in order, to the records above: 7.56 3.02 3.80 2.75 2.64 3.41 4.63 2.40.